Rb2PrAgBr6 after structural relaxation. Source: Alexandria, functional GGA-PBEsol.

The space group is Fm-3m (No. 225) and the conventional cell measures 11.2493, 11.2493 and 11.2493 Å, with angles of 90.00, 90.00 and 90.00 degrees. The inequivalent atoms are Rb at (0.2500, 0.2500, 0.2500), Pr at (0.0000, 0.0000, 0.0000), Ag at (0.0000, 0.0000, 0.5000) and Br at (0.0000, 0.0000, 0.2540).

The value obtained for the energy is -146.135 eV/cell. The calculation puts the uncorrected formation energy at -1.477 eV/atom. For the spin magnetization, the calculation gives 0.0 μB/f.u. The calculation puts the volume at 35.59 Å³/atom.